NaEuTeAu: optimized geometry, PBE.

a = 5.371 Å, b = 5.371 Å, c = 5.371 Å
α = 60.00°, β = 60.00°, γ = 60.00°
Fractional positions:
Te (0.000, 0.000, 0.000)
Au (0.500, 0.500, 0.500)
Eu (0.250, 0.250, 0.250)
Na (0.750, 0.750, 0.750)

Results
Space group   F-43m
Density   7.57 g/cm3
Raw total energy   -21.67 eV for the cell shown
Calculated volume   109.6 Å³/f.u.
Formation energy without anion corrections   -913 meV per atom